A relaxed structure of La3Pr5Cd2, computed with GGA-PBE.

a = 6.8532 Å, b = 10.7956 Å, c = 10.7956 Å
α = 90.55°, β = 71.49°, γ = 71.49°
Sites, in units of the cell vectors:
1 Pr 0.2500 0.5000 0.5000
2 Pr 0.3749 0.7890 0.4612
3 Pr 0.0004 0.7496 0.7496
4 Pr 0.7500 0.5000 0.5000
5 Pr 0.9996 0.2504 0.2504
6 Pr 0.6251 0.2110 0.5388
7 Pr 0.5004 0.7496 0.7496
8 Pr 0.4996 0.2504 0.2504
9 Pr 0.8749 0.4612 0.7890
10 Pr 0.1251 0.5388 0.2110
11 Cd 0.1303 0.7267 0.0126
12 Cd 0.6303 0.0126 0.7267
13 Cd 0.3697 0.9874 0.2733
14 Cd 0.8697 0.2733 0.9874
15 La 0.3819 0.3637 0.8724
16 La 0.8819 0.8724 0.3637
17 La 0.2500 0.0000 0.0000
18 La 0.6181 0.6363 0.1276
19 La 0.7500 0.0000 0.0000
20 La 0.1181 0.1276 0.6363

Output
M_tot   0.00 μB per atom
E_tot   -3.95 eV per atom
Formation enthalpy at 0 K   1.0 eV per formula unit